(1)
Na8Tl3: relaxed, GGA-PBE.

Computed properties:
The energy of formation from the pure elements is 0.51 eV/f.u. The value obtained for the energy relative to the lowest polymorph listed for this composition is 0.128 eV/atom.

Cell lengths 10.1156, 10.1156, 13.3975 Å; angles 90.00, 90.00, 120.00 degrees
Space group R-3 (No. 148, hexagonal axes)
Symmetry-distinct sites (fractional):
Na 0.0000 0.0000 0.1185 x6
Na 0.0369 0.2369 0.6131 x18
Tl 0.0000 0.5000 0.5000 x9

=====

(2)
BeTe2Pt: relaxed, GGA-PBE.

Computed properties:
As for the raw formation energy: 0.1821 eV per atom.

Cell lengths 5.921, 7.635, 3.841 Å; angles 90.00, 90.00, 90.00 degrees
Space group Cmmm (No. 65)
Symmetry-distinct sites (fractional):
Be 0.000 0.000 0.000 x2
Te 0.000 0.251 0.500 x4
Pt 0.000 0.500 0.000 x2

=====

(3)
Cs2BeTeAs: relaxed, GGA-PBE.

Computed properties:
As for the raw formation energy: 0.1871 eV per atom.

Cell lengths 7.007, 7.007, 4.459 Å; angles 90.00, 90.00, 90.00 degrees
Space group P4/mmm (No. 123)
Symmetry-distinct sites (fractional):
Cs 0.000 0.500 0.000 x2
Be 0.000 0.000 0.000 x1
Te 0.000 0.000 0.500 x1
As 0.500 0.500 0.500 x1

=====

(4)
Pr2HoC: relaxed, GGA-PBE.

Computed properties:
The energy of formation from the pure elements is 0.44 eV/f.u.

Cell lengths 3.6459, 3.6459, 30.0486 Å; angles 90.00, 90.00, 120.00 degrees
Space group R-3m (No. 166, hexagonal axes)
Symmetry-distinct sites (fractional):
Pr 0.0000 0.0000 0.1186 x6
Ho 0.0000 0.0000 0.0000 x3
C 0.0000 0.0000 0.5000 x3

=====

Number 1: spin magnetization 0.00 μB/f.u.. Number 2: spin magnetization 0.00 μB/f.u.. Number 3: spin magnetization 1.24 μB/f.u.. Number 4: spin magnetization 0.00 μB/f.u..